GaNiOs | PBE | optimized geometry

Output
total DFT energy (no corrections)	-0.2472	hartree per atom
energy of formation	-0.05	eV per atom
space-group type	Cm, No. 8

Cell lengths 6.2651, 2.7698, 9.4378 Å; angles 90.00, 101.66, 90.00 degrees
Closest atoms and distances in Å follow each position.
Fractional coordinates of all 12 atoms:
Ni 0.7756 0.5000 0.5849  5 Ga 2.48-2.71, 3 Ni 2.62-2.77, 2 Os 2.66
Ga 0.7038 0.0000 0.7915  5 Ni 2.51-2.71, 3 Os 2.62-2.63, 2 Ga 2.77
Os 0.1171 0.5000 0.2780  4 Ga 2.54-2.63, 4 Os 2.65-2.77, 2 Ni 2.68
Ni 0.7756 0.0000 0.0849  5 Ga 2.48-2.71, 3 Ni 2.62-2.77, 2 Os 2.66
Ni 0.3848 0.0000 0.1448  5 Os 2.58-2.68, 4 Ga 2.59-2.62, 3 Ni 2.62-2.77
Ga 0.0559 0.5000 0.0031  4 Ni 2.48-2.62, 4 Os 2.54-2.70, 2 Ga 2.77
Os 0.1171 0.0000 0.7780  4 Ga 2.54-2.63, 4 Os 2.65-2.77, 2 Ni 2.68
Os 0.4489 0.5000 0.9268  5 Ni 2.58-2.66, 3 Ga 2.63-2.70, 4 Os 2.65-2.77
Os 0.4489 0.0000 0.4268  5 Ni 2.58-2.66, 3 Ga 2.63-2.70, 4 Os 2.65-2.77
Ga 0.0559 0.0000 0.5031  4 Ni 2.48-2.62, 4 Os 2.54-2.70, 2 Ga 2.77
Ni 0.3848 0.5000 0.6448  5 Os 2.58-2.68, 4 Ga 2.59-2.62, 3 Ni 2.62-2.77
Ga 0.7038 0.5000 0.2915  5 Ni 2.51-2.71, 3 Os 2.62-2.63, 2 Ga 2.77